[1]
Material: LiSO2F
Method: DFT, PBE-GGA
State: optimized geometry

Lattice parameters (Å, degrees): 3.5344 3.5344 4.6006 90.00 90.00 90.00
Element x y z (fractional)
Li 0.0000 0.0000 0.0000
S 0.5000 0.5000 0.5000
O 0.0000 0.5000 0.5000
O 0.5000 0.0000 0.5000
F 0.5000 0.5000 0.0000

Space-group type = P4/mmm, No. 123
Density = 2.60 g cm⁻³

---

[2]
Material: PrNd2Dy3Y6
Method: DFT, PBE-GGA
State: optimized geometry

Lattice parameters (Å, degrees): 6.2322 6.2322 11.8701 95.00 95.00 119.97
Element x y z (fractional)
Pr 0.0000 0.0000 0.0000
Nd 0.3334 0.6666 0.0000
Nd 0.6666 0.3334 0.0000
Dy 0.1668 0.8332 0.5000
Dy 0.5000 0.5000 0.5000
Dy 0.8332 0.1668 0.5000
Y 0.0849 0.4184 0.2535
Y 0.2486 0.2486 0.7464
Y 0.4184 0.0849 0.2535
Y 0.5816 0.9151 0.7465
Y 0.7514 0.7514 0.2536
Y 0.9151 0.5816 0.7465

Space-group type = C2/m, No. 12
Density = 6.12 g cm⁻³

---

| no. | uncorrected energy (Ry per atom) |
| --- | --- |
| 1 | -0.3277 |
| 2 | -0.4085 |